Computed, not measured: a relaxed Rb2LaNi3F12 crystal at the GGA+U level of DFT.

Output
VASP energy: -84.87 eV/f.u.
D(E_F): 5.58 states/eV per cell
M_tot: 5.0 μB/cell

Structure (POSCAR):
```
Rb2LaNi3F12
1.0
-3.595 -4.998 -3.712
2.239 -1.389 -6.689
3.307 -6.282 -1.135
Ni F Rb La
3 12 2 1
Direct
0.500 0.000 0.000
0.000 0.000 0.500
0.000 0.500 0.000
0.121 0.603 0.121
0.397 0.879 0.879
0.121 0.121 0.603
0.900 0.278 0.278
0.278 0.900 0.278
0.100 0.722 0.722
0.278 0.278 0.900
0.879 0.879 0.397
0.722 0.100 0.722
0.879 0.397 0.879
0.722 0.722 0.100
0.603 0.121 0.121
0.611 0.611 0.611
0.389 0.389 0.389
0.000 0.000 0.000
```